DFT (PBE) results for a geometry-optimized Tb2HfGe3Pt4 structure.

Calculated values
The calculation puts the density of states at the Fermi level at 9.9 states/eV/f.u. For the total moment, the calculation gives 0.00 Bohr magnetons per cell. The theoretical density is 12.77 g/cm³. The crystal system is tetragonal. The value obtained for the energy of formation is -0.950 eV per atom.

Lattice parameters (Å, degrees): 4.1613 4.1613 11.2275 90.00 90.00 90.00
With the nearest neighbours (Å) after each atom.
Fractional positions:
1 Tb 0.0000 0.5000 0.2244  4 Ge 3.11, 8 Pt 3.27-3.28
2 Tb 0.5000 0.0000 0.7756  4 Ge 3.11, 8 Pt 3.27-3.28
3 Hf 0.0000 0.0000 0.5000  4 Pt 2.66, 4 Ge 2.94
4 Ge 0.0000 0.5000 0.8650  5 Pt 2.45-2.57
5 Ge 0.5000 0.0000 0.1350  5 Pt 2.45-2.57
6 Ge 0.5000 0.5000 0.5000  4 Pt 2.66, 4 Hf 2.94
7 Pt 0.0000 0.0000 0.0000  4 Ge 2.57
8 Pt 0.0000 0.5000 0.6469  3 Ge 2.45-2.66, 2 Hf 2.66
9 Pt 0.5000 0.0000 0.3531  3 Ge 2.45-2.66, 2 Hf 2.66
10 Pt 0.5000 0.5000 0.0000  4 Ge 2.57

=====

DFT (PBE) results for a geometry-optimized Tb6TcNi2 structure.

Calculated values
The calculation puts the density of states at the Fermi level at 9.5 states/eV/f.u. For the total moment, the calculation gives 0.00 Bohr magnetons per cell. The theoretical density is 9.02 g/cm³. The crystal system is orthorhombic. The value obtained for the energy of formation is -0.186 eV per atom.

Lattice parameters (Å, degrees): 8.2405 8.2405 8.2405 110.51 109.87 108.05
With the nearest neighbours (Å) after each atom.
Fractional positions:
1 Tb 0.0207 0.8277 0.1930  3 Ni 2.73-2.89
2 Tb 0.2575 0.3244 0.5818  3 Ni 2.89-3.05, 1 Tc 2.94
3 Tb 0.2575 0.6756 0.9331  3 Ni 2.89-3.05, 1 Tc 2.94
4 Tb 0.2640 0.5776 0.3136  2 Tc 2.88-3.10, 2 Ni 2.94-3.16
5 Tb 0.2640 0.9504 0.6864  2 Tc 2.88-3.10, 2 Ni 2.94-3.16
6 Tb 0.3654 0.1723 0.1930  3 Ni 2.73-2.89
7 Tb 0.6346 0.8277 0.8070  3 Ni 2.73-2.89
8 Tb 0.7360 0.0496 0.3136  2 Tc 2.88-3.10, 2 Ni 2.94-3.16
9 Tb 0.7360 0.4224 0.6864  2 Tc 2.88-3.10, 2 Ni 2.94-3.16
10 Tb 0.7425 0.3244 0.0669  3 Ni 2.89-3.05, 1 Tc 2.94
11 Tb 0.7425 0.6756 0.4182  3 Ni 2.89-3.05, 1 Tc 2.94
12 Tb 0.9793 0.1723 0.8070  3 Ni 2.73-2.89
13 Tc 0.0000 0.5000 0.5000  8 Tb 2.94-3.10, 2 Ni 3.21
14 Tc 0.5000 0.0000 0.5000  4 Tb 2.88
15 Ni 0.0000 0.1582 0.1582  8 Tb 2.89-2.94, 1 Ni 2.97, 1 Tc 3.21
16 Ni 0.0000 0.8418 0.8418  8 Tb 2.89-2.94, 1 Ni 2.97, 1 Tc 3.21
17 Ni 0.3822 0.3822 0.0000  1 Ni 2.28
18 Ni 0.6178 0.6178 0.0000  1 Ni 2.28

=====

DFT (PBE) results for a geometry-optimized Pr2Nd3SmTe6 structure.

Calculated values
The calculation puts the density of states at the Fermi level at 6.4 states/eV/f.u. For the total moment, the calculation gives 0.00 Bohr magnetons per cell. The theoretical density is 7.00 g/cm³. The crystal system is monoclinic. Its raw formation energy is -1.422 eV per atom.

Lattice parameters (Å, degrees): 10.0502 10.0502 9.0470 102.75 102.75 25.76
With the nearest neighbours (Å) after each atom.
Fractional positions:
1 Pr 0.1674 0.1674 0.3341  6 Te 3.19-3.22
2 Pr 0.8326 0.8326 0.6659  6 Te 3.19-3.22
3 Nd 0.1690 0.1690 0.8334  6 Te 3.17-3.20
4 Nd 0.5000 0.5000 0.5000  6 Te 3.16-3.20
5 Nd 0.8310 0.8310 0.1666  6 Te 3.17-3.20
6 Sm 0.5000 0.5000 0.0000  6 Te 3.14-3.16
7 Te 0.0013 0.0013 0.7537  2 Sm 3.16, 3 Nd 3.20, 1 Pr 3.22
8 Te 0.3343 0.3343 0.4156  3 Nd 3.16-3.17, 3 Pr 3.19
9 Te 0.3355 0.3355 0.9198  1 Sm 3.14, 3 Nd 3.18, 2 Pr 3.20
10 Te 0.6645 0.6645 0.0802  1 Sm 3.14, 3 Nd 3.18, 2 Pr 3.20
11 Te 0.6657 0.6657 0.5844  3 Nd 3.16-3.17, 3 Pr 3.19
12 Te 0.9987 0.9987 0.2463  2 Sm 3.16, 3 Nd 3.20, 1 Pr 3.22

=====

DFT (PBE) results for a geometry-optimized FeCoW structure.

Calculated values
The calculation puts the density of states at the Fermi level at 3.7 states/eV/f.u. As for the relative energy among the computed polymorphs: 0.72 eV per formula unit. For the total moment, the calculation gives 0.00 Bohr magnetons per cell. The theoretical density is 13.24 g/cm³. The crystal system is monoclinic. The value obtained for the energy of formation is 0.236 eV per atom.

Lattice parameters (Å, degrees): 4.8716 4.8716 6.1087 96.09 96.09 31.33
With the nearest neighbours (Å) after each atom.
Fractional positions:
1 Fe 0.1420 0.1420 0.4694  4 Fe 2.41-2.63, 3 Co 2.49-2.54, 4 W 2.60-2.62
2 Fe 0.8580 0.8580 0.5306  4 Fe 2.41-2.63, 3 Co 2.49-2.54, 4 W 2.60-2.62
3 Co 0.2858 0.2858 0.8469  4 Co 2.44-2.63, 3 Fe 2.49-2.54, 4 W 2.53-2.57
4 Co 0.7142 0.7142 0.1531  4 Co 2.44-2.63, 3 Fe 2.49-2.54, 4 W 2.53-2.57
5 W 0.4514 0.4514 0.2084  4 Co 2.53-2.57, 4 Fe 2.60-2.62, 3 W 2.63-2.80
6 W 0.5486 0.5486 0.7916  4 Co 2.53-2.57, 4 Fe 2.60-2.62, 3 W 2.63-2.80

=====

Please write out number 2 again, unchanged.
DFT (PBE) results for a geometry-optimized Tb6TcNi2 structure.

Calculated values
The calculation puts the density of states at the Fermi level at 9.5 states/eV/f.u. For the total moment, the calculation gives 0.00 Bohr magnetons per cell. The theoretical density is 9.02 g/cm³. The crystal system is orthorhombic. The value obtained for the energy of formation is -0.186 eV per atom.

Lattice parameters (Å, degrees): 8.2405 8.2405 8.2405 110.51 109.87 108.05
With the nearest neighbours (Å) after each atom.
Fractional positions:
1 Tb 0.0207 0.8277 0.1930  3 Ni 2.73-2.89
2 Tb 0.2575 0.3244 0.5818  3 Ni 2.89-3.05, 1 Tc 2.94
3 Tb 0.2575 0.6756 0.9331  3 Ni 2.89-3.05, 1 Tc 2.94
4 Tb 0.2640 0.5776 0.3136  2 Tc 2.88-3.10, 2 Ni 2.94-3.16
5 Tb 0.2640 0.9504 0.6864  2 Tc 2.88-3.10, 2 Ni 2.94-3.16
6 Tb 0.3654 0.1723 0.1930  3 Ni 2.73-2.89
7 Tb 0.6346 0.8277 0.8070  3 Ni 2.73-2.89
8 Tb 0.7360 0.0496 0.3136  2 Tc 2.88-3.10, 2 Ni 2.94-3.16
9 Tb 0.7360 0.4224 0.6864  2 Tc 2.88-3.10, 2 Ni 2.94-3.16
10 Tb 0.7425 0.3244 0.0669  3 Ni 2.89-3.05, 1 Tc 2.94
11 Tb 0.7425 0.6756 0.4182  3 Ni 2.89-3.05, 1 Tc 2.94
12 Tb 0.9793 0.1723 0.8070  3 Ni 2.73-2.89
13 Tc 0.0000 0.5000 0.5000  8 Tb 2.94-3.10, 2 Ni 3.21
14 Tc 0.5000 0.0000 0.5000  4 Tb 2.88
15 Ni 0.0000 0.1582 0.1582  8 Tb 2.89-2.94, 1 Ni 2.97, 1 Tc 3.21
16 Ni 0.0000 0.8418 0.8418  8 Tb 2.89-2.94, 1 Ni 2.97, 1 Tc 3.21
17 Ni 0.3822 0.3822 0.0000  1 Ni 2.28
18 Ni 0.6178 0.6178 0.0000  1 Ni 2.28

=====

- What is the total moment in the first record?
  0.00 Bohr magnetons per cell